# 1
A plane-wave DFT calculation with PBE was carried out for a geometry-optimized Ba6Tl3I structure.

spin magnetization = 0.00 μB per atom
symmetry = Cmc2_1, No. 36
N(E_F) = 1.202 states/eV per atom
formation energy (no corrections) = -0.44 eV/atom
calculated volume = 1012 Å³ per cell

Cell lengths 10.839, 10.839, 8.954 Å; angles 90.00, 90.00, 105.90 degrees
Sites, in units of the cell vectors:
Ba 0.005 0.995 0.500
Ba 0.105 0.551 0.022
Ba 0.260 0.740 0.583
Ba 0.297 0.342 0.573
Ba 0.342 0.297 0.073
Ba 0.449 0.895 0.022
Ba 0.551 0.105 0.522
Ba 0.658 0.703 0.573
Ba 0.703 0.658 0.073
Ba 0.740 0.260 0.083
Ba 0.895 0.449 0.522
Ba 0.995 0.005 0.000
Tl 0.037 0.271 0.265
Tl 0.271 0.037 0.765
Tl 0.413 0.587 0.851
Tl 0.587 0.413 0.351
Tl 0.729 0.963 0.265
Tl 0.963 0.729 0.765
I 0.163 0.837 0.241
I 0.837 0.163 0.741


# 2
A plane-wave DFT calculation with PBE was carried out for a geometry-optimized TmMn10Fe2 structure.

spin magnetization = 0.00 μB per atom
energy relative to the elements = 0.00 eV per atom
symmetry = Cmcm, No. 63
N(E_F) = 1.191 states/eV per atom
calculated volume = 317 Å³ per cell

Cell lengths 6.312, 6.312, 8.020 Å; angles 90.00, 90.00, 97.81 degrees
Sites, in units of the cell vectors:
Tm 0.123 0.877 0.750
Tm 0.877 0.123 0.250
Mn 0.129 0.390 0.750
Mn 0.166 0.834 0.105
Mn 0.166 0.834 0.395
Mn 0.224 0.224 0.000
Mn 0.224 0.224 0.500
Mn 0.251 0.483 0.250
Mn 0.390 0.129 0.250
Mn 0.396 0.604 0.570
Mn 0.396 0.604 0.930
Mn 0.483 0.251 0.750
Mn 0.517 0.749 0.250
Mn 0.604 0.396 0.070
Mn 0.604 0.396 0.430
Mn 0.610 0.871 0.750
Mn 0.749 0.517 0.750
Mn 0.776 0.776 0.000
Mn 0.776 0.776 0.500
Mn 0.834 0.166 0.605
Mn 0.834 0.166 0.895
Mn 0.871 0.610 0.250
Fe 0.000 0.500 0.000
Fe 0.000 0.500 0.500
Fe 0.500 0.000 0.000
Fe 0.500 0.000 0.500


# 3
A plane-wave DFT calculation with PBE was carried out for a geometry-optimized TbAl2Cu2Si structure.

spin magnetization = 0.00 μB per atom
symmetry = P4/mmm, No. 123
N(E_F) = 0.393 states/eV per atom
formation energy (no corrections) = -0.09 eV/atom
calculated volume = 109 Å³ per cell

Cell lengths 4.449, 4.449, 5.501 Å; angles 90.00, 90.00, 90.00 degrees
Sites, in units of the cell vectors:
Tb 0.000 0.000 0.000
Al 0.500 0.500 0.234
Al 0.500 0.500 0.766
Cu 0.000 0.500 0.500
Cu 0.500 0.000 0.500
Si 0.000 0.000 0.500


# 4
A plane-wave DFT calculation with PBE was carried out for a geometry-optimized K4SrTh3Te8 structure.

spin magnetization = 0.00 μB per atom
symmetry = R-3m, No. 166
N(E_F) = 0.589 states/eV per atom
formation energy (no corrections) = -1.26 eV/atom
calculated volume = 609 Å³ per cell

Cell lengths 9.872, 9.872, 9.872 Å; angles 55.51, 55.51, 55.51 degrees
Sites, in units of the cell vectors:
K 0.000 0.000 0.000
K 0.000 0.500 0.500
K 0.500 0.000 0.500
K 0.500 0.500 0.000
Sr 0.500 0.500 0.500
Th 0.000 0.000 0.500
Th 0.000 0.500 0.000
Th 0.500 0.000 0.000
Te 0.228 0.746 0.746
Te 0.239 0.239 0.239
Te 0.254 0.254 0.772
Te 0.254 0.772 0.254
Te 0.746 0.228 0.746
Te 0.746 0.746 0.228
Te 0.761 0.761 0.761
Te 0.772 0.254 0.254


Which value of spin magnetization does entry 1 give?
0.00 μB per atom